# CdGa6Ag12

A relaxed CdGa6Ag12 crystal (PBE, Alexandria).

Results
Energy relative to the elements in eV/f.u.: 1.95
E_tot in eV/atom: -2.702
Relative energy among the computed polymorphs in kJ/mol of formula units: 85

Unit cell a=8.943 b=8.943 c=8.943 alpha=90.00 beta=90.00 gamma=90.00
Space group Im-3 (No. 204)
One atom of each set of equivalent atoms:
Cd 0.000 0.000 0.000 x2
Ga 0.000 0.359 0.500 x12
Ag 0.000 0.209 0.252 x24

---

# FeAs2W

A relaxed FeAs2W crystal (PBE, Alexandria).

Results
Energy relative to the elements in eV/f.u.: 1.33
E_tot in eV/atom: -7.346
Relative energy among the computed polymorphs in kJ/mol of formula units: 100

Unit cell a=8.084 b=3.093 c=4.941 alpha=90.00 beta=97.08 gamma=90.00
Space group C2/m (No. 12)
One atom of each set of equivalent atoms:
Fe 0.000 0.000 0.000 x2
As 0.236 0.000 0.748 x4
W 0.000 0.500 0.500 x2

---

# RbScTi2

A relaxed RbScTi2 crystal (PBE, Alexandria).

Results
Energy relative to the elements in eV/f.u.: 5.01
E_tot in eV/atom: -4.520
Relative energy among the computed polymorphs in kJ/mol of formula units: 0

Unit cell a=7.537 b=7.537 c=7.537 alpha=90.00 beta=90.00 gamma=90.00
Space group Fm-3m (No. 225)
One atom of each set of equivalent atoms:
Rb 0.000 0.000 0.000 x4
Sc 0.000 0.000 0.500 x4
Ti 0.250 0.250 0.250 x8

---

# Cu2Te2Se5

A relaxed Cu2Te2Se5 crystal (PBE, Alexandria).

Results
E_tot in eV/atom: -3.551
Relative energy among the computed polymorphs in kJ/mol of formula units: 0
ΔE_f (raw) in eV/atom: -0.007

Unit cell a=18.838 b=4.118 c=6.501 alpha=90.00 beta=100.06 gamma=90.00
Space group C2/m (No. 12)
One atom of each set of equivalent atoms:
Cu 0.122 0.000 0.373 x4
Te 0.080 0.500 0.795 x4
Se 0.000 0.000 0.500 x2
Se 0.149 0.000 0.034 x4
Se 0.170 0.500 0.542 x4

---

# NpTl4Br6

A relaxed NpTl4Br6 crystal (PBE, Alexandria).

Results
E_tot in eV/atom: -3.830
ΔE_f (raw) in eV/atom: -0.880

Unit cell a=8.842 b=8.842 c=10.066 alpha=90.00 beta=90.00 gamma=90.00
Space group P4/mnc (No. 128)
One atom of each set of equivalent atoms:
Np 0.000 0.000 0.000 x2
Tl 0.150 0.350 0.250 x8
Br 0.000 0.000 0.290 x4
Br 0.135 0.695 0.000 x8

---

# TbPr2Zn6

A relaxed TbPr2Zn6 crystal (PBE, Alexandria).

Results
Energy relative to the elements in eV/f.u.: -3.14
E_tot in eV/atom: -2.774

Unit cell a=7.9114 b=7.9114 c=3.6038 alpha=90.00 beta=90.00 gamma=120.00
Space group P6/mmm (No. 191)
One atom of each set of equivalent atoms:
Tb 0.0000 0.0000 0.0000 x1
Pr 0.3333 0.6667 0.0000 x2
Zn 0.0000 0.3290 0.5000 x6

---

# Ba4I

A relaxed Ba4I crystal (PBE, Alexandria).

Results
E_tot in eV/atom: -2.209
ΔE_f (raw) in eV/atom: -0.360

Unit cell a=6.810 b=6.810 c=6.810 alpha=90.00 beta=90.00 gamma=90.00
Space group Pm-3m (No. 221)
One atom of each set of equivalent atoms:
Ba 0.000 0.000 0.000 x1
Ba 0.000 0.500 0.500 x3
I 0.500 0.500 0.500 x1

---

# NaSrIn2Ni

A relaxed NaSrIn2Ni crystal (PBE, Alexandria).

Results
Energy relative to the elements in eV/f.u.: -0.67
E_tot in eV/atom: -2.986
Relative energy among the computed polymorphs in kJ/mol of formula units: 2

Unit cell a=5.026 b=5.026 c=5.308 alpha=90.00 beta=90.00 gamma=90.00
Space group P4/mmm (No. 123)
One atom of each set of equivalent atoms:
Na 0.000 0.000 0.000 x1
Sr 0.500 0.500 0.000 x1
In 0.000 0.500 0.500 x2
Ni 0.000 0.000 0.500 x1

---

# Sc3Ag

A relaxed Sc3Ag crystal (PBE, Alexandria).

Results
Energy relative to the elements in eV/f.u.: -0.39
E_tot in eV/atom: -5.558
Relative energy among the computed polymorphs in kJ/mol of formula units: 13

Unit cell a=3.271 b=3.271 c=8.421 alpha=90.00 beta=90.00 gamma=90.00
Space group P4/mmm (No. 123)
One atom of each set of equivalent atoms:
Sc 0.000 0.000 0.000 x1
Sc 0.500 0.500 0.275 x2
Ag 0.000 0.000 0.500 x1

---

# Ho3Er

A relaxed Ho3Er crystal (PBE, Alexandria).

Results
Energy relative to the elements in eV/f.u.: 0.01
E_tot in eV/atom: -4.572
Relative energy among the computed polymorphs in kJ/mol of formula units: 0

Unit cell a=3.593 b=11.145 c=6.215 alpha=90.00 beta=90.00 gamma=90.00
Space group Imm2 (No. 44)
One atom of each set of equivalent atoms:
Ho 0.000 0.000 0.000 x2
Ho 0.000 0.250 0.667 x4
Er 0.000 0.500 0.999 x2

---

# AgAs2H

A relaxed AgAs2H crystal (PBE, Alexandria).

Results
E_tot in eV/atom: -3.381
Relative energy among the computed polymorphs in kJ/mol of formula units: 0

Unit cell a=4.249 b=4.249 c=15.544 alpha=90.00 beta=90.00 gamma=90.00
Space group I-42d (No. 122)
One atom of each set of equivalent atoms:
Ag 0.000 0.000 0.000 x4
As 0.171 0.250 0.625 x8
H 0.000 0.000 0.500 x4

---

# CoCuPd2

A relaxed CoCuPd2 crystal (PBE, Alexandria).

Results
Energy relative to the elements in eV/f.u.: 0.11
E_tot in eV/atom: -5.370

Unit cell a=2.7243 b=2.7243 c=25.6120 alpha=90.00 beta=90.00 gamma=120.00
Space group R-3m (No. 166, hexagonal axes)
One atom of each set of equivalent atoms:
Co 0.0000 0.0000 0.0000 x3
Cu 0.0000 0.0000 0.5000 x3
Pd 0.0000 0.0000 0.2511 x6

---

# Rb3U2BiO9

A relaxed Rb3U2BiO9 crystal (PBE, Alexandria).

Results
E_tot in eV/atom: -7.413
ΔE_f (raw) in eV/atom: -2.480

Unit cell a=6.2207 b=6.2207 c=7.6360 alpha=90.00 beta=90.00 gamma=120.00
Space group P-3m1 (No. 164)
One atom of each set of equivalent atoms:
Rb 0.0000 0.0000 0.0000 x1
Rb 0.3333 0.6667 0.6594 x2
U 0.3333 0.6667 0.1623 x2
Bi 0.0000 0.0000 0.5000 x1
O 0.0000 0.5000 0.0000 x3
O 0.1783 0.3566 0.3164 x6

---

# CaCo2Mo

A relaxed CaCo2Mo crystal (PBE, Alexandria).

Results
Energy relative to the elements in eV/f.u.: 1.86
E_tot in eV/atom: -6.296
Relative energy among the computed polymorphs in kJ/mol of formula units: 95

Unit cell a=10.096 b=2.679 c=4.682 alpha=90.00 beta=106.95 gamma=90.00
Space group Cm (No. 8)
One atom of each set of equivalent atoms:
Ca 0.000 0.000 0.000 x2
Co 0.028 0.500 0.511 x2
Co 0.227 0.000 0.786 x2
Mo 0.295 0.500 0.363 x2

---

# Y6Te3Rh

A relaxed Y6Te3Rh crystal (PBE, Alexandria).

Results
E_tot in eV/atom: -6.469
ΔE_f (raw) in eV/atom: -0.913

Unit cell a=12.229 b=3.962 c=12.512 alpha=90.00 beta=105.14 gamma=90.00
Space group P2_1/m (No. 11)
One atom of each set of equivalent atoms:
Y 0.011 0.250 0.354 x2
Y 0.081 0.250 0.891 x2
Y 0.272 0.750 0.313 x2
Y 0.283 0.750 0.766 x2
Y 0.403 0.250 0.559 x2
Y 0.460 0.750 0.147 x2
Te 0.117 0.250 0.148 x2
Te 0.173 0.750 0.514 x2
Te 0.341 0.250 0.961 x2
Rh 0.452 0.250 0.322 x2

---

# CaMg2Al

A relaxed CaMg2Al crystal (PBE, Alexandria).

Results
Energy relative to the elements in eV/f.u.: -0.37
E_tot in eV/atom: -2.327

Unit cell a=5.084 b=5.104 c=7.240 alpha=90.00 beta=90.00 gamma=90.00
Space group Imm2 (No. 44)
One atom of each set of equivalent atoms:
Ca 0.000 0.000 0.000 x2
Mg 0.000 0.000 0.499 x2
Mg 0.000 0.500 0.250 x2
Al 0.000 0.500 0.749 x2

---

# La4Y2Er5

A relaxed La4Y2Er5 crystal (PBE, Alexandria).

Results
Energy relative to the elements in eV/f.u.: 1.47
E_tot in eV/atom: -4.907
Relative energy among the computed polymorphs in kJ/mol of formula units: 45

Unit cell a=23.028 b=3.586 c=9.588 alpha=90.00 beta=108.91 gamma=90.00
Space group C2/m (No. 12)
One atom of each set of equivalent atoms:
La 0.020 0.000 0.363 x4
La 0.170 0.500 0.559 x4
Y 0.235 0.500 0.130 x4
Er 0.000 0.500 0.000 x2
Er 0.118 0.000 0.865 x4
Er 0.131 0.000 0.218 x4

---

# PrNd2Sm6Dy

A relaxed PrNd2Sm6Dy crystal (PBE, Alexandria).

Results
Energy relative to the elements in eV/f.u.: 1.14
E_tot in eV/atom: -4.609

Unit cell a=9.215 b=15.314 c=9.865 alpha=90.00 beta=98.41 gamma=90.00
Space group C2/c (No. 15)
One atom of each set of equivalent atoms:
Pr 0.000 0.019 0.250 x4
Nd 0.247 0.050 0.543 x8
Sm 0.067 0.188 0.944 x8
Sm 0.099 0.394 0.120 x8
Sm 0.206 0.223 0.313 x8
Dy 0.000 0.408 0.750 x4

---

# RbBa2Np3Se8

A relaxed RbBa2Np3Se8 crystal (PBE, Alexandria).

Results
E_tot in eV/atom: -6.452
ΔE_f (raw) in eV/atom: -1.344

Unit cell a=8.7556 b=8.7556 c=23.3509 alpha=90.00 beta=90.00 gamma=120.00
Space group R3m (No. 160, hexagonal axes)
One atom of each set of equivalent atoms:
Rb 0.0000 0.0000 0.0000 x3
Ba 0.0000 0.0000 0.2590 x3
Ba 0.0000 0.0000 0.6340 x3
Np 0.1681 0.3363 0.4651 x9
Se 0.0000 0.0000 0.4000 x3
Se 0.0000 0.0000 0.8605 x3
Se 0.0360 0.5180 0.4014 x9
Se 0.1840 0.3680 0.1991 x9

---

# ErZrTe

A relaxed ErZrTe crystal (PBE, Alexandria).

Results
E_tot in eV/atom: -5.744
ΔE_f (raw) in eV/atom: -0.327

Unit cell a=4.9563 b=4.9563 c=3.7535 alpha=90.00 beta=90.00 gamma=120.00
Space group P-6m2 (No. 187)
One atom of each set of equivalent atoms:
Er 0.0000 0.0000 0.0000 x1
Zr 0.3333 0.6667 0.5000 x1
Te 0.6667 0.3333 0.5000 x1